Compound: ZrTiNi2
Source: Alexandria
Functional: PBE
Structure: optimized geometry

VASP energy   -29.43 eV/f.u.
Space-group type   Pnma
D(E_F)   14.27 states/eV/cell
Total magnetic moment   0.00 μB per cell
Calculated density   7.0 g cm⁻³

Lattice parameters (Å, degrees): 6.075 4.289 9.375 90.00 90.00 90.00
Fractional positions:
1 Zr 0.211 0.250 0.162
2 Zr 0.289 0.750 0.662
3 Zr 0.711 0.250 0.338
4 Zr 0.789 0.750 0.838
5 Ti 0.053 0.750 0.379
6 Ti 0.447 0.250 0.879
7 Ti 0.553 0.750 0.121
8 Ti 0.947 0.250 0.621
9 Ni 0.042 0.250 0.876
10 Ni 0.240 0.250 0.444
11 Ni 0.260 0.750 0.944
12 Ni 0.458 0.750 0.376
13 Ni 0.542 0.250 0.624
14 Ni 0.740 0.250 0.056
15 Ni 0.760 0.750 0.556
16 Ni 0.958 0.750 0.124